Entry 1:
CsFeNiF6 at its PBEsol-relaxed geometry, computed with meta-GGA SCAN.

The structure in extended XYZ format:
```
18
Lattice="-4.761 -4.230 3.327 1.909 -3.446 6.110 -2.894 2.126 6.321" Properties=species:S:1:pos:R:3 pbc="T T T"
Fe -0.493 -0.660 6.215
Fe 0.000 0.000 0.000
F -3.101 -3.355 3.790
F -2.342 -4.684 6.211
F -3.784 -6.077 10.135
F -1.620 -2.152 5.728
F -4.126 -3.398 10.029
F -0.196 -0.774 1.760
F -3.404 -0.866 9.546
F -2.645 -2.195 11.966
F -4.526 -4.734 7.758
F -1.962 0.526 5.621
F -5.550 -4.777 13.997
F -1.220 -0.817 7.999
Cs -1.232 -3.829 8.888
Cs -4.514 -1.722 6.869
Ni 0.955 -1.723 3.055
Ni -1.426 -3.838 4.718
```

## Properties
* magnetization: 14.0 Bohr magnetons per cell
* ρ: 4.4 Mg/m³
* E_form (uncorrected): -2628 meV/atom
* raw total energy: -13.00 eV per atom



Entry 2:
LiZnAg at its PBEsol-relaxed geometry, computed with meta-GGA SCAN.

The structure in extended XYZ format:
```
3
Lattice="-0.229 2.272 1.643 -0.550 -2.247 3.016 4.472 -0.116 -1.664" Properties=species:S:1:pos:R:3 pbc="T T T"
Zn 2.722 -0.071 0.444
Li 0.976 -0.022 2.552
Ag 3.687 -0.089 2.993
```

## Properties
* magnetization: 0.0 Bohr magnetons per cell
* ρ: 6.8 Mg/m³
* energy of formation: -17 kJ/mol of atoms
* raw total energy: -15.93 eV per atom